No. 1
VASP calculation (PBE) on an optimized crystal structure of Er4GaTe. Values from VASP.

Summary:
The calculation puts the total magnetic moment at 0.0 μB per cell. The value obtained for the uncorrected formation energy is -0.63 eV/atom. As for the energy relative to the lowest polymorph listed for this composition: 0 meV per atom. For the density, the calculation gives 9.03 Mg/m³.

Quantum ESPRESSO input file:
```
&SYSTEM
  ibrav = 0, nat = 24, ntyp = 3
/
ATOMIC_SPECIES
Er 167.26 Er.upf
Te 127.60 Te.upf
Ga 69.72 Ga.upf
CELL_PARAMETERS angstrom
4.112 0.000 0.000
0.000 8.195 0.000
0.000 0.000 18.909
ATOMIC_POSITIONS angstrom
Er 1.028 5.253 17.821
Er 1.028 4.436 13.515
Er 3.084 3.760 5.394
Er 1.028 5.244 2.844
Er 3.084 7.049 12.299
Er 1.028 8.152 1.269
Er 3.084 4.141 10.724
Er 1.028 1.155 10.544
Er 1.028 1.147 6.610
Er 3.084 7.857 4.061
Er 3.084 2.943 1.089
Er 1.028 4.054 8.185
Er 1.028 0.338 14.849
Er 3.084 0.043 17.640
Er 3.084 7.041 8.366
Er 3.084 2.951 16.065
Te 1.028 2.130 3.546
Te 1.028 6.228 5.909
Te 3.084 6.065 15.364
Te 3.084 1.967 13.000
Ga 3.084 6.023 0.899
Ga 3.084 1.925 8.555
Ga 1.028 2.172 18.010
Ga 1.028 6.270 10.354
```

No. 2
VASP calculation (PBE) on an optimized crystal structure of ErGaTe2. Values from VASP.

Summary:
The calculation puts the total magnetic moment at 0.0 μB per cell. The value obtained for the uncorrected formation energy is -0.83 eV/atom. For the density, the calculation gives 6.57 Mg/m³.

Quantum ESPRESSO input file:
```
&SYSTEM
  ibrav = 0, nat = 4, ntyp = 3
/
ATOMIC_SPECIES
Er 167.26 Er.upf
Te 127.60 Te.upf
Ga 69.72 Ga.upf
CELL_PARAMETERS angstrom
-1.809 -3.807 0.586
2.313 -3.545 -0.437
2.060 -2.165 7.743
ATOMIC_POSITIONS angstrom
Er 1.286 -4.758 3.961
Te 1.562 -2.240 5.716
Te 0.661 -2.376 2.053
Ga 0.338 -4.901 0.108
```

No. 3
VASP calculation (PBE) on an optimized crystal structure of Er5Ga2Te2. Values from VASP.

Summary:
The calculation puts the total magnetic moment at 0.0 μB per cell. The value obtained for the uncorrected formation energy is -0.89 eV/atom. For the density, the calculation gives 8.78 Mg/m³.

Quantum ESPRESSO input file:
```
&SYSTEM
  ibrav = 0, nat = 18, ntyp = 3
/
ATOMIC_SPECIES
Er 167.26 Er.upf
Ga 69.72 Ga.upf
Te 127.60 Te.upf
CELL_PARAMETERS angstrom
-3.364 0.525 7.026
-6.659 -2.870 -2.974
0.633 -6.802 5.149
ATOMIC_POSITIONS angstrom
Er -5.011 -1.173 2.026
Er -7.199 -3.831 2.628
Er -4.426 -2.309 5.278
Er -4.422 -3.622 -0.396
Er -1.650 -2.100 2.254
Er -7.741 -7.048 6.947
Er -4.964 -6.839 3.923
Er -2.192 -5.317 6.573
Er -4.968 -5.526 9.597
Er 0.000 0.000 0.000
Ga -2.918 -1.004 -0.205
Ga -2.960 -0.034 4.040
Ga -7.063 -2.312 0.012
Ga -7.105 -1.342 4.258
Te -2.411 -2.384 7.700
Te -0.320 -3.894 4.476
Te -5.332 -5.067 6.502
Te -4.059 -4.081 2.700
```

No. 4
VASP calculation (PBE) on an optimized crystal structure of Er4GaTe2. Values from VASP.

Summary:
The calculation puts the total magnetic moment at 0.0 μB per cell. The value obtained for the uncorrected formation energy is -0.79 eV/atom. As for the energy relative to the lowest polymorph listed for this composition: 30 meV per atom. For the density, the calculation gives 8.25 Mg/m³.

Quantum ESPRESSO input file:
```
&SYSTEM
  ibrav = 0, nat = 7, ntyp = 3
/
ATOMIC_SPECIES
Er 167.26 Er.upf
Te 127.60 Te.upf
Ga 69.72 Ga.upf
CELL_PARAMETERS angstrom
4.091 0.000 -1.068
-0.766 6.399 -2.936
-0.120 -0.474 7.910
ATOMIC_POSITIONS angstrom
Er 1.456 0.180 5.577
Er 1.749 5.745 -1.670
Er 0.058 2.859 0.224
Er 3.146 3.066 3.683
Te 2.463 4.563 1.064
Te 0.742 1.362 2.842
Ga 0.000 0.000 0.000
```

No. 5
VASP calculation (PBE) on an optimized crystal structure of ErGaTe4. Values from VASP.

Summary:
The calculation puts the total magnetic moment at 0.0 μB per cell. The value obtained for the uncorrected formation energy is -0.57 eV/atom. For the density, the calculation gives 5.96 Mg/m³.

Quantum ESPRESSO input file:
```
&SYSTEM
  ibrav = 0, nat = 12, ntyp = 3
/
ATOMIC_SPECIES
Er 167.26 Er.upf
Te 127.60 Te.upf
Ga 69.72 Ga.upf
CELL_PARAMETERS angstrom
-0.759 -0.346 6.081
6.263 -3.685 -3.105
5.278 8.031 1.116
ATOMIC_POSITIONS angstrom
Er 2.438 0.650 4.760
Er 8.344 3.350 -0.667
Te 8.559 2.796 2.307
Te 5.562 1.026 3.990
Te 7.323 6.175 0.547
Te 5.220 2.975 0.102
Te 4.624 5.365 2.428
Te 3.459 -2.174 3.545
Te 2.223 1.205 1.785
Te 6.158 -1.364 1.665
Ga 4.457 5.116 5.005
Ga 6.325 -1.116 -0.912
```

No. 6
VASP calculation (PBE) on an optimized crystal structure of Er6GaTe5. Values from VASP.

Summary:
The calculation puts the total magnetic moment at 0.0 μB per cell. The value obtained for the uncorrected formation energy is -1.19 eV/atom. For the density, the calculation gives 8.37 Mg/m³.

Quantum ESPRESSO input file:
```
&SYSTEM
  ibrav = 0, nat = 12, ntyp = 3
/
ATOMIC_SPECIES
Te 127.60 Te.upf
Er 167.26 Er.upf
Ga 69.72 Ga.upf
CELL_PARAMETERS angstrom
-0.283 7.163 2.056
-3.066 -2.117 -6.460
-4.993 -2.857 4.745
ATOMIC_POSITIONS angstrom
Te -4.171 1.094 0.171
Te -3.271 4.096 2.925
Te -2.131 1.001 -3.598
Te -5.071 -1.907 -2.584
Te -1.218 4.045 -0.806
Er -2.351 -0.932 -1.229
Er -5.991 3.120 1.570
Er -1.493 1.930 1.397
Er -6.849 0.258 -1.056
Er -3.791 3.231 -2.282
Er -4.551 -1.043 2.623
Ga 0.000 0.000 0.000
```

- What is the total magnetic moment in the fourth record?
  0.0 μB per cell

- Among the records above, which one has the highest density?
  Er4GaTe